Record 1
# AcPa2C

An optimized crystal structure of AcPa2C (GGA-PBE, the Alexandria database).

```
4
Lattice="-1.781 2.717 -1.144 -3.316 0.370 0.855 0.926 6.109 7.886" Properties=species:S:1:pos:R:3 pbc="T T T"
C -2.086 4.598 3.799
Pa -4.168 4.884 2.535
Ac 0.000 0.000 0.000
Pa -0.003 4.312 5.062
```

Volume   101 Å³/cell
Symmetry   No. 166
DFT formation energy   0.086 eV/atom
Energy above the most stable polymorph in this dataset   0 meV/atom
DOS(E_F)   7.95 states/eV per cell
Mass density   11.5 g/cm³

=====

Record 2
# AcPa3C

An optimized crystal structure of AcPa3C (GGA-PBE, the Alexandria database).

```
5
Lattice="-3.579 -3.107 -1.420 2.146 -0.444 -4.436 2.659 -3.825 1.668" Properties=species:S:1:pos:R:3 pbc="T T T"
Pa -1.789 -1.554 -0.710
Ac 0.613 -3.688 -2.094
C 0.000 0.000 0.000
Pa 1.329 -1.912 0.834
Pa 1.073 -0.222 -2.218
```

Volume   121 Å³/cell
Symmetry   No. 221
DFT formation energy   0.068 eV/atom
DOS(E_F)   6.88 states/eV per cell
Mass density   12.8 g/cm³